1.
Computed, not measured: a relaxed structure of Li2CdSnSe4 at the GGA-PBE level of DFT.

a b c (Å): 14.6205 8.4577 6.8834
angles (deg): 90.00 90.00 90.00
Sites, in units of the cell vectors:
Li 0.0773 0.2476 0.0000
Li 0.1645 0.0040 0.4942
Li 0.3355 0.5040 0.9942
Li 0.4227 0.7476 0.5000
Li 0.5773 0.2524 0.0000
Li 0.6645 0.4960 0.4942
Li 0.8355 0.9960 0.9942
Li 0.9227 0.7524 0.5000
Cd 0.1643 0.4957 0.4915
Cd 0.3357 0.9957 0.9915
Cd 0.6643 0.0043 0.4915
Cd 0.8357 0.5043 0.9915
Sn 0.0853 0.7471 0.9936
Sn 0.4147 0.2471 0.4936
Sn 0.5853 0.7529 0.9936
Sn 0.9147 0.2529 0.4936
Se 0.0778 0.2412 0.6272
Se 0.0858 0.7591 0.6212
Se 0.1632 0.9975 0.1232
Se 0.1689 0.4955 0.1023
Se 0.3311 0.9955 0.6023
Se 0.3368 0.4975 0.6232
Se 0.4142 0.2591 0.1212
Se 0.4222 0.7412 0.1272
Se 0.5778 0.2588 0.6272
Se 0.5858 0.7409 0.6212
Se 0.6632 0.5025 0.1232
Se 0.6689 0.0045 0.1023
Se 0.8311 0.5045 0.6023
Se 0.8368 0.0025 0.6232
Se 0.9142 0.2409 0.1212
Se 0.9222 0.7588 0.1272

Values from the calculation:
As for the symmetry: No. 33. The calculation puts the mass density at 4.38 Mg/m³. The total energy comes out at -0.267 Ry/atom.

2.
Computed, not measured: a relaxed structure of YTmGe2 at the GGA-PBE level of DFT.

a b c (Å): 3.2504 5.7933 11.4652
angles (deg): 90.00 90.00 90.00
Sites, in units of the cell vectors:
Y 0.0000 0.0000 0.0000
Y 0.0000 0.5000 0.5000
Tm 0.0000 0.0000 0.3009
Tm 0.0000 0.5000 0.8009
Ge 0.0000 0.0000 0.5417
Ge 0.0000 0.0000 0.7554
Ge 0.0000 0.5000 0.0417
Ge 0.0000 0.5000 0.2554

Values from the calculation:
For the size of the total moment, the calculation gives 0.018 Bohr magnetons per cell. As for the symmetry: No. 38. The calculation puts the mass density at 6.20 Mg/m³. The total energy comes out at -0.367 Ry/atom.

3.
Computed, not measured: a relaxed structure of Tb2DyTa3 at the GGA-PBE level of DFT.

a b c (Å): 5.8902 5.8902 5.0520
angles (deg): 90.00 90.00 120.00
Sites, in units of the cell vectors:
Tb 0.3333 0.6667 0.0000
Tb 0.6667 0.3333 0.0000
Dy 0.0000 0.0000 0.0000
Ta 0.0000 0.5000 0.5000
Ta 0.5000 0.0000 0.5000
Ta 0.5000 0.5000 0.5000

Values from the calculation:
For the size of the total moment, the calculation gives 0.044 Bohr magnetons per cell. As for the symmetry: No. 191. The calculation puts the mass density at 11.20 Mg/m³. The total energy comes out at -0.554 Ry/atom.